# KAg2HgPb

A relaxed KAg2HgPb crystal (GGA-PBEsol, Alexandria via LeMat-Bulk).

Properties
Magnetic moment: 0.000 μB per formula unit
Mass density: 6.073 Mg/m³
Space group: P4/mmm (123)
Electronic total energy: -2.044 eV per atom
Formation enthalpy at 0 K: 0.420 eV/atom

```
5
Lattice="-0.5190 -0.8747 -5.1771 4.4905 -2.7697 0.0177 -3.3565 -5.4338 1.2545" Properties=species:S:1:pos:R:3 pbc="T T T"
Hg 0.3075 -4.5391 -1.9524
Pb 0.0000 0.0000 0.0000
Ag 2.2453 -1.3849 0.0089
Ag -0.2595 -0.4373 -2.5885
K -1.6782 -2.7169 0.6273
```